Compound: Nb6Ru5Pt
Source: the Alexandria database
Functional: PBE
Structure: optimized geometry

Calculated values
Calculated formation energy (eV/atom): -0.27
E_tot (eV/atom): -9.672
Space group: No. 2
Energy above the most stable polymorph in this dataset (meV/atom): 0
V (A^3/atom): 16.20

Unit cell a=4.676 b=6.097 c=8.290 alpha=111.53 beta=115.80 gamma=89.85
Sites, in units of the cell vectors:
Ru 0.373 0.828 0.657
Ru 0.638 0.676 0.352
Ru 0.000 0.500 0.000
Ru 0.362 0.324 0.648
Ru 0.627 0.172 0.343
Nb 0.116 0.418 0.327
Nb 0.116 0.910 0.328
Nb 0.499 0.254 0.000
Nb 0.501 0.746 0.000
Nb 0.884 0.090 0.672
Nb 0.884 0.582 0.673
Pt 0.000 0.000 0.000